--- i ---
Density functional theory data (GGA-PBE) for a relaxed structure of BaCaIr3.

Cell and atoms, written as POSCAR:
```
BaCaIr3
1.0
5.1585 0.0000 0.0000
0.0000 5.1585 0.0000
0.0000 0.0000 5.1585
Ba Ca Ir
1 1 3
direct
0.0000 0.0000 0.0000 Ba
0.5000 0.5000 0.5000 Ca
0.0000 0.0000 0.5000 Ir
0.0000 0.5000 0.0000 Ir
0.5000 0.0000 0.0000 Ir
```

--- ii ---
Density functional theory data (GGA-PBE) for a relaxed structure of BaCaIr3.

Cell and atoms, written as POSCAR:
```
BaCaIr3
1.0
5.0506 0.0000 0.0000
0.0000 5.0506 0.0000
0.0000 0.0000 5.0506
Ba Ca Ir
1 1 3
direct
0.0000 0.0000 0.0000 Ba
0.5000 0.5000 0.5000 Ca
0.0000 0.5000 0.5000 Ir
0.5000 0.0000 0.5000 Ir
0.5000 0.5000 0.0000 Ir
```

Stability, highest: ii

--- i ---
Density functional theory data (GGA-PBE) for a relaxed structure of BaCaLa2Ir.

Cell and atoms, written as POSCAR:
```
BaCaLa2Ir
1.0
5.6919 0.0000 0.0000
0.0000 5.6919 0.0000
0.0000 0.0000 5.9887
Ba Ca La Ir
1 1 2 1
direct
0.0000 0.0000 0.0000 Ba
0.5000 0.5000 0.0000 Ca
0.0000 0.5000 0.5000 La
0.5000 0.0000 0.5000 La
0.5000 0.5000 0.5000 Ir
```

--- ii ---
Density functional theory data (GGA-PBE) for a relaxed structure of BaCaLa2Ir.

Cell and atoms, written as POSCAR:
```
BaCaLa2Ir
1.0
5.6652 0.0000 0.0000
0.0000 5.6652 0.0000
0.0000 0.0000 6.3898
Ba Ca La Ir
1 1 2 1
direct
0.0000 0.0000 0.0000 Ba
0.5000 0.5000 0.0000 Ca
0.0000 0.5000 0.5000 La
0.5000 0.0000 0.5000 La
0.0000 0.0000 0.5000 Ir
```

Stability, highest: i

--- i ---
Density functional theory data (GGA-PBE) for a relaxed structure of BaLiCa2Ir.

Cell and atoms, written as POSCAR:
```
BaLiCa2Ir
1.0
5.5983 0.0000 0.0000
0.0000 5.5983 0.0000
0.0000 0.0000 6.0961
Ba Li Ca Ir
1 1 2 1
direct
0.0000 0.0000 0.0000 Ba
0.5000 0.5000 0.0000 Li
0.0000 0.5000 0.5000 Ca
0.5000 0.0000 0.5000 Ca
0.0000 0.0000 0.5000 Ir
```

--- ii ---
Density functional theory data (GGA-PBE) for a relaxed structure of BaLiCa2Ir.

Cell and atoms, written as POSCAR:
```
BaLiCa2Ir
1.0
5.5401 0.0000 0.0000
0.0000 5.5401 0.0000
0.0000 0.0000 5.4245
Ba Li Ca Ir
1 1 2 1
direct
0.0000 0.0000 0.0000 Ba
0.5000 0.5000 0.0000 Li
0.0000 0.5000 0.5000 Ca
0.5000 0.0000 0.5000 Ca
0.5000 0.5000 0.5000 Ir
```

Stability, highest: i

--- i ---
Density functional theory data (GGA-PBE) for a relaxed structure of Ba2CaMgIr.

Cell and atoms, written as POSCAR:
```
Ba2CaMgIr
1.0
6.1293 0.0000 0.0000
0.0000 6.1293 0.0000
0.0000 0.0000 5.2935
Ba Ca Mg Ir
2 1 1 1
direct
0.0000 0.5000 0.0000 Ba
0.5000 0.0000 0.0000 Ba
0.0000 0.0000 0.5000 Ca
0.5000 0.5000 0.5000 Mg
0.5000 0.5000 0.0000 Ir
```

--- ii ---
Density functional theory data (GGA-PBE) for a relaxed structure of Ba2CaMgIr.

Cell and atoms, written as POSCAR:
```
Ba2CaMgIr
1.0
6.1307 0.0000 0.0000
0.0000 6.1307 0.0000
0.0000 0.0000 5.5676
Ba Ca Mg Ir
2 1 1 1
direct
0.0000 0.5000 0.0000 Ba
0.5000 0.0000 0.0000 Ba
0.0000 0.0000 0.5000 Ca
0.5000 0.5000 0.5000 Mg
0.0000 0.0000 0.0000 Ir
```

Stability, highest: ii

--- i ---
Density functional theory data (GGA-PBE) for a relaxed structure of BaCaY2Ir.

Cell and atoms, written as POSCAR:
```
BaCaY2Ir
1.0
5.4996 0.0000 0.0000
0.0000 5.4996 0.0000
0.0000 0.0000 6.1972
Ba Ca Y Ir
1 1 2 1
direct
0.0000 0.0000 0.0000 Ba
0.5000 0.5000 0.0000 Ca
0.0000 0.5000 0.5000 Y
0.5000 0.0000 0.5000 Y
0.0000 0.0000 0.5000 Ir
```

--- ii ---
Density functional theory data (GGA-PBE) for a relaxed structure of BaCaY2Ir.

Cell and atoms, written as POSCAR:
```
BaCaY2Ir
1.0
5.4958 0.0000 0.0000
0.0000 5.4958 0.0000
0.0000 0.0000 5.8703
Ba Ca Y Ir
1 1 2 1
direct
0.0000 0.0000 0.0000 Ba
0.5000 0.5000 0.0000 Ca
0.0000 0.5000 0.5000 Y
0.5000 0.0000 0.5000 Y
0.5000 0.5000 0.5000 Ir
```

Stability, highest: ii

--- i ---
Density functional theory data (GGA-PBE) for a relaxed structure of KBa2Ca.

Cell and atoms, written as POSCAR:
```
KBa2Ca
1.0
4.3336 0.0000 0.0000
0.0000 4.3336 0.0000
0.0000 0.0000 12.8253
K Ba Ca
1 2 1
direct
0.0000 0.0000 0.0000 K
0.5000 0.5000 0.2762 Ba
0.5000 0.5000 0.7238 Ba
0.0000 0.0000 0.5000 Ca
```

--- ii ---
Density functional theory data (GGA-PBE) for a relaxed structure of KBa2Ca.

Cell and atoms, written as POSCAR:
```
KBa2Ca
1.0
9.8612 0.0000 0.0000
0.0000 9.8612 0.0000
0.0000 0.0000 9.8612
K Ba Ca
4 8 4
direct
0.0000 0.0000 0.0000 K
0.0000 0.5000 0.5000 K
0.5000 0.0000 0.5000 K
0.5000 0.5000 0.0000 K
0.2500 0.2500 0.2500 Ba
0.2500 0.2500 0.7500 Ba
0.2500 0.7500 0.2500 Ba
0.2500 0.7500 0.7500 Ba
0.7500 0.2500 0.2500 Ba
0.7500 0.2500 0.7500 Ba
0.7500 0.7500 0.2500 Ba
0.7500 0.7500 0.7500 Ba
0.0000 0.0000 0.5000 Ca
0.0000 0.5000 0.0000 Ca
0.5000 0.0000 0.0000 Ca
0.5000 0.5000 0.5000 Ca
```

Stability, highest: i

--- i ---
Density functional theory data (GGA-PBE) for a relaxed structure of KBa2Ca.

Cell and atoms, written as POSCAR:
```
KBa2Ca
1.0
4.8667 0.0000 0.0000
0.0000 7.0128 0.0000
0.0000 0.0000 13.7595
K Ba Ca
2 4 2
direct
0.0000 0.0000 0.0000 K
0.5000 0.5000 0.5000 K
0.0000 0.5000 0.2489 Ba
0.0000 0.5000 0.7511 Ba
0.5000 0.0000 0.2511 Ba
0.5000 0.0000 0.7489 Ba
0.0000 0.0000 0.5000 Ca
0.5000 0.5000 0.0000 Ca
```

--- ii ---
Density functional theory data (GGA-PBE) for a relaxed structure of KBa2Ca.

Cell and atoms, written as POSCAR:
```
KBa2Ca
1.0
4.9085 0.0000 0.0000
0.0000 6.8165 0.0000
0.0000 0.0000 14.0553
K Ba Ca
2 4 2
direct
0.0000 0.0000 0.0000 K
0.5000 0.5000 0.0000 K
0.0000 0.0000 0.5256 Ba
0.0000 0.5000 0.2719 Ba
0.5000 0.0000 0.2719 Ba
0.5000 0.5000 0.5256 Ba
0.0000 0.5000 0.7530 Ca
0.5000 0.0000 0.7530 Ca
```

Stability, highest: ii

--- i ---
Density functional theory data (GGA-PBE) for a relaxed structure of KBa2Ca.

Cell and atoms, written as POSCAR:
```
KBa2Ca
1.0
8.8748 0.0000 0.0000
0.0000 12.2004 0.0000
-0.0489 0.0000 4.3551
K Ba Ca
2 4 2
direct
0.0000 0.0000 0.0000 K
0.5000 0.5000 0.0000 K
0.2500 0.2500 0.5000 Ba
0.2500 0.7500 0.5000 Ba
0.7500 0.2500 0.5000 Ba
0.7500 0.7500 0.5000 Ba
0.0000 0.5000 0.0000 Ca
0.5000 0.0000 0.0000 Ca
```

--- ii ---
Density functional theory data (GGA-PBE) for a relaxed structure of KBa2Ca.

Cell and atoms, written as POSCAR:
```
KBa2Ca
1.0
10.6975 0.0000 0.0000
0.0000 10.6975 0.0000
0.0000 0.0000 8.2106
K Ba Ca
4 8 4
direct
0.0000 0.0000 0.0000 K
0.0000 0.5000 0.2500 K
0.5000 0.0000 0.7500 K
0.5000 0.5000 0.5000 K
0.2470 0.2500 0.1250 Ba
0.2500 0.7470 0.3750 Ba
0.2500 0.7530 0.8750 Ba
0.2530 0.2500 0.6250 Ba
0.7470 0.7500 0.6250 Ba
0.7500 0.2470 0.8750 Ba
0.7500 0.2530 0.3750 Ba
0.7530 0.7500 0.1250 Ba
0.0000 0.0000 0.5000 Ca
0.0000 0.5000 0.7500 Ca
0.5000 0.0000 0.2500 Ca
0.5000 0.5000 0.0000 Ca
```

--- iii ---
Density functional theory data (GGA-PBE) for a relaxed structure of KBa2Ca.

Cell and atoms, written as POSCAR:
```
KBa2Ca
1.0
6.0642 0.0000 0.0000
0.0000 6.0642 0.0000
0.0000 0.0000 12.8982
K Ba Ca
2 4 2
direct
0.0000 0.0000 0.0000 K
0.5000 0.5000 0.5000 K
0.0000 0.0000 0.5000 Ba
0.0000 0.5000 0.7500 Ba
0.5000 0.0000 0.2500 Ba
0.5000 0.5000 0.0000 Ba
0.0000 0.5000 0.2500 Ca
0.5000 0.0000 0.7500 Ca
```

--- iv ---
Density functional theory data (GGA-PBE) for a relaxed structure of KBa2Ca.

Cell and atoms, written as POSCAR:
```
KBa2Ca
1.0
4.6603 0.0000 0.0000
0.0000 7.1240 0.0000
0.0000 0.0000 14.3479
K Ba Ca
2 4 2
direct
0.0000 0.0000 0.0000 K
0.5000 0.5000 0.5000 K
0.0000 0.0000 0.5254 Ba
0.0000 0.5000 0.7576 Ba
0.5000 0.0000 0.2576 Ba
0.5000 0.5000 0.0254 Ba
0.0000 0.5000 0.2671 Ca
0.5000 0.0000 0.7671 Ca
```

Stability, highest: i

--- i ---
Density functional theory data (GGA-PBE) for a relaxed structure of KBa3Ca.

Cell and atoms, written as POSCAR:
```
KBa3Ca
1.0
6.9359 0.0000 0.0000
0.0000 6.9359 0.0000
0.0000 0.0000 6.9359
K Ba Ca
1 3 1
direct
0.0000 0.0000 0.0000 K
0.0000 0.0000 0.5000 Ba
0.0000 0.5000 0.0000 Ba
0.5000 0.0000 0.0000 Ba
0.5000 0.5000 0.5000 Ca
```

--- ii ---
Density functional theory data (GGA-PBE) for a relaxed structure of KBa3Ca.

Cell and atoms, written as POSCAR:
```
KBa3Ca
1.0
7.2159 0.0000 0.0000
0.0000 7.2159 0.0000
0.0000 0.0000 7.2159
K Ba Ca
1 3 1
direct
0.0000 0.0000 0.0000 K
0.0000 0.5000 0.5000 Ba
0.5000 0.0000 0.5000 Ba
0.5000 0.5000 0.0000 Ba
0.5000 0.5000 0.5000 Ca
```

Stability, highest: ii

--- i ---
Density functional theory data (GGA-PBE) for a relaxed structure of KBa2Ca2.

Cell and atoms, written as POSCAR:
```
KBa2Ca2
1.0
11.4268 0.0000 0.0000
0.0000 11.4268 0.0000
0.0000 0.0000 4.5449
K Ba Ca
2 4 4
direct
0.0000 0.0000 0.0000 K
0.5000 0.5000 0.0000 K
0.1751 0.3249 0.5000 Ba
0.3249 0.8249 0.5000 Ba
0.6751 0.1751 0.5000 Ba
0.8249 0.6751 0.5000 Ba
0.1164 0.6164 0.0000 Ca
0.3836 0.1164 0.0000 Ca
0.6164 0.8836 0.0000 Ca
0.8836 0.3836 0.0000 Ca
```

--- ii ---
Density functional theory data (GGA-PBE) for a relaxed structure of KBa2Ca2.

Cell and atoms, written as POSCAR:
```
KBa2Ca2
1.0
11.7368 0.0000 0.0000
0.0000 11.7368 0.0000
0.0000 0.0000 4.2981
K Ba Ca
2 4 4
direct
0.0000 0.0000 0.0000 K
0.5000 0.5000 0.0000 K
0.1242 0.3758 0.0000 Ba
0.3758 0.8758 0.0000 Ba
0.6242 0.1242 0.0000 Ba
0.8758 0.6242 0.0000 Ba
0.1684 0.6684 0.5000 Ca
0.3316 0.1684 0.5000 Ca
0.6684 0.8316 0.5000 Ca
0.8316 0.3316 0.5000 Ca
```

--- iii ---
Density functional theory data (GGA-PBE) for a relaxed structure of KBa2Ca2.

Cell and atoms, written as POSCAR:
```
KBa2Ca2
1.0
5.5882 0.0000 0.0000
0.0000 5.5882 0.0000
0.0000 0.0000 19.9003
K Ba Ca
2 4 4
direct
0.0000 0.0000 0.0000 K
0.5000 0.5000 0.5000 K
0.0000 0.5000 0.2500 Ba
0.0000 0.5000 0.7500 Ba
0.5000 0.0000 0.2500 Ba
0.5000 0.0000 0.7500 Ba
0.0000 0.0000 0.4032 Ca
0.0000 0.0000 0.5968 Ca
0.5000 0.5000 0.0968 Ca
0.5000 0.5000 0.9032 Ca
```

--- iv ---
Density functional theory data (GGA-PBE) for a relaxed structure of KBa2Ca2.

Cell and atoms, written as POSCAR:
```
KBa2Ca2
1.0
4.9820 0.0000 0.0000
0.0000 4.9820 0.0000
0.0000 0.0000 24.6440
K Ba Ca
2 4 4
direct
0.0000 0.0000 0.0000 K
0.5000 0.5000 0.5000 K
0.0000 0.0000 0.3869 Ba
0.0000 0.0000 0.6131 Ba
0.5000 0.5000 0.1131 Ba
0.5000 0.5000 0.8869 Ba
0.0000 0.5000 0.2500 Ca
0.0000 0.5000 0.7500 Ca
0.5000 0.0000 0.2500 Ca
0.5000 0.0000 0.7500 Ca
```

Stability, highest: i

--- i ---
Density functional theory data (GGA-PBE) for a relaxed structure of K2BaCa2.

Cell and atoms, written as POSCAR:
```
K2BaCa2
1.0
5.5054 0.0000 0.0000
0.0000 5.5054 0.0000
0.0000 0.0000 19.5615
K Ba Ca
4 2 4
direct
0.0000 0.0000 0.1008 K
0.0000 0.0000 0.8992 K
0.5000 0.5000 0.3992 K
0.5000 0.5000 0.6008 K
0.0000 0.0000 0.5000 Ba
0.5000 0.5000 0.0000 Ba
0.0000 0.5000 0.2500 Ca
0.0000 0.5000 0.7500 Ca
0.5000 0.0000 0.2500 Ca
0.5000 0.0000 0.7500 Ca
```

--- ii ---
Density functional theory data (GGA-PBE) for a relaxed structure of K2BaCa2.

Cell and atoms, written as POSCAR:
```
K2BaCa2
1.0
11.5071 0.0000 0.0000
0.0000 11.5071 0.0000
0.0000 0.0000 4.3508
K Ba Ca
4 2 4
direct
0.1742 0.3258 0.0000 K
0.3258 0.8258 0.0000 K
0.6742 0.1742 0.0000 K
0.8258 0.6742 0.0000 K
0.0000 0.0000 0.5000 Ba
0.5000 0.5000 0.5000 Ba
0.1213 0.6213 0.5000 Ca
0.3787 0.1213 0.5000 Ca
0.6213 0.8787 0.5000 Ca
0.8787 0.3787 0.5000 Ca
```

--- iii ---
Density functional theory data (GGA-PBE) for a relaxed structure of K2BaCa2.

Cell and atoms, written as POSCAR:
```
K2BaCa2
1.0
11.4156 0.0000 0.0000
0.0000 11.4156 0.0000
0.0000 0.0000 4.3397
K Ba Ca
4 2 4
direct
0.1207 0.3793 0.0000 K
0.3793 0.8793 0.0000 K
0.6207 0.1207 0.0000 K
0.8793 0.6207 0.0000 K
0.0000 0.0000 0.0000 Ba
0.5000 0.5000 0.0000 Ba
0.1802 0.6802 0.5000 Ca
0.3198 0.1802 0.5000 Ca
0.6802 0.8198 0.5000 Ca
0.8198 0.3198 0.5000 Ca
```

--- iv ---
Density functional theory data (GGA-PBE) for a relaxed structure of K2BaCa2.

Cell and atoms, written as POSCAR:
```
K2BaCa2
1.0
5.3828 0.0000 0.0000
0.0000 5.3828 0.0000
0.0000 0.0000 20.5058
K Ba Ca
4 2 4
direct
0.0000 0.5000 0.2500 K
0.0000 0.5000 0.7500 K
0.5000 0.0000 0.2500 K
0.5000 0.0000 0.7500 K
0.0000 0.0000 0.0000 Ba
0.5000 0.5000 0.5000 Ba
0.0000 0.0000 0.4101 Ca
0.0000 0.0000 0.5899 Ca
0.5000 0.5000 0.0899 Ca
0.5000 0.5000 0.9101 Ca
```

Stability, highest: iii